No. 1
A geometry-optimized YPSe2Br structure. Source: Alexandria, functional PBE.

```
5
Lattice="5.569 0.000 0.000 0.000 5.569 0.000 0.000 0.000 5.451" Properties=species:S:1:pos:R:3 pbc="T T T"
Y 0.000 0.000 0.000
P 2.784 2.784 2.726
Se 0.000 2.784 0.000
Se 2.784 0.000 0.000
Br 0.000 0.000 2.726
```

Output
For the uncorrected formation energy, the calculation gives -0.08 eV/atom. The value obtained for the final energy is -4.1811 eV/atom. The density of states at the Fermi level is 3.647 states/eV/f.u. As for the calculated density: 3.51 g/cm3. Its space group is P4/mmm, No. 123.

No. 2
A geometry-optimized VHPtW2 structure. Source: Alexandria, functional PBE.

```
5
Lattice="3.982 0.000 0.000 0.000 3.982 0.000 0.000 0.000 3.965" Properties=species:S:1:pos:R:3 pbc="T T T"
V 0.000 0.000 0.000
H 0.000 0.000 1.982
Pt 1.991 1.991 0.000
W 0.000 1.991 1.982
W 1.991 0.000 1.982
```

Output
The value obtained for the final energy is -8.9607 eV/atom. The density of states at the Fermi level is 4.334 states/eV/f.u. As for the calculated density: 16.24 g/cm3. Its space group is P4/mmm, No. 123.

Please write out number 2 again, unchanged.
A geometry-optimized VHPtW2 structure. Source: Alexandria, functional PBE.

```
5
Lattice="3.982 0.000 0.000 0.000 3.982 0.000 0.000 0.000 3.965" Properties=species:S:1:pos:R:3 pbc="T T T"
V 0.000 0.000 0.000
H 0.000 0.000 1.982
Pt 1.991 1.991 0.000
W 0.000 1.991 1.982
W 1.991 0.000 1.982
```

Output
The value obtained for the final energy is -8.9607 eV/atom. The density of states at the Fermi level is 4.334 states/eV/f.u. As for the calculated density: 16.24 g/cm3. Its space group is P4/mmm, No. 123.

> Among the records above, which one has the highest final energy?

YPSe2Br